The following is a DFT calculation (GGA+U) of Mn2SiPdF after structural relaxation.

The structure belongs to space group P4/mmm (No. 123); the cell edges are 5.1148, 5.1148 and 4.4172 Å and the angles 90.00°, 90.00° and 90.00°. The asymmetric unit holds Mn at (0.0000, 0.5000, 0.0000), Si at (0.0000, 0.0000, 0.5000), Pd at (0.0000, 0.0000, 0.0000) and F at (0.5000, 0.5000, 0.5000).

The value obtained for the final energy is -27.94 eV per cell. The value obtained for the total moment is 10.1 μB per cell.